[1]
Entry from the Alexandria database: a relaxed KPbI3 crystal (GGA-PBEsol).

Results
**Energy**: -2.934 eV per atom
**Total magnetic moment**: 0.0 μB/f.u.
**Uncorrected formation energy**: -0.848 eV per atom

```
KPbI3
1.0
-4.605 3.794 -1.732
-3.753 -2.644 4.186
1.819 4.149 4.252
I K Pb
3 1 1
direct
0.000 0.000 0.500
0.000 0.500 0.000
0.500 0.000 0.000
0.500 0.500 0.500
0.000 0.000 0.000
```


[2]
Entry from the Alexandria database: a relaxed Al2AsP crystal (GGA-PBEsol).

Results
**Energy**: -4.691 eV per atom
**Energy above the most stable polymorph in this dataset**: 348 meV/atom
**Total magnetic moment**: 0.0 μB/f.u.
**Formation enthalpy at 0 K**: 0.079 eV per atom

```
Al2AsP
1.0
3.343 0.000 0.000
0.000 4.398 0.042
0.000 -0.696 4.343
Al P As
2 1 1
direct
0.000 0.000 0.500
0.000 0.500 0.000
0.500 0.500 0.500
0.500 0.000 0.000
```


[3]
Entry from the Alexandria database: a relaxed SiSe2Br crystal (GGA-PBEsol).

Results
**Energy**: -3.559 eV per atom
**Energy above the most stable polymorph in this dataset**: 0 meV/atom
**Total magnetic moment**: 0.0 μB/f.u.
**Uncorrected formation energy**: 0.270 eV per atom

```
SiSe2Br
1.0
-4.718 -1.259 -0.119
2.236 -1.992 3.859
0.322 4.863 0.334
Se Br Si
2 1 1
direct
0.500 0.000 0.500
0.000 0.500 0.500
0.500 0.500 0.000
0.000 0.000 0.000
```


[4]
Entry from the Alexandria database: a relaxed Fe3RhN crystal (GGA-PBEsol).

Results
**Energy**: -8.829 eV per atom
**Total magnetic moment**: 8.0 μB/f.u.
**Uncorrected formation energy**: -0.118 eV per atom

```
Fe3RhN
1.0
3.771 0.000 0.000
0.000 3.771 0.000
0.000 0.000 3.771
N Fe Rh
1 3 1
direct
0.500 0.500 0.500
0.500 0.500 0.000
0.500 0.000 0.500
0.000 0.500 0.500
0.000 0.000 0.000
```


[5]
Entry from the Alexandria database: a relaxed MoWO6 crystal (GGA-PBEsol).

Results
**Energy**: -9.122 eV per atom
**Energy above the most stable polymorph in this dataset**: 37 meV/atom
**Total magnetic moment**: 0.0 μB/f.u.
**Uncorrected formation energy**: -1.989 eV per atom

```
MoWO6
1.0
-2.097 -0.280 4.829
0.789 -5.311 0.035
6.753 1.023 2.989
O W Mo
12 2 2
direct
0.248 0.750 0.465
0.568 0.000 0.249
0.750 0.749 0.535
0.252 0.250 0.035
0.432 0.000 0.751
0.250 0.251 0.465
0.068 0.500 0.749
0.932 0.500 0.251
0.250 0.751 0.035
0.752 0.250 0.535
0.750 0.249 0.965
0.748 0.750 0.965
0.000 0.500 0.000
0.500 0.000 0.500
0.000 0.500 0.500
0.500 0.000 0.000
```


[6]
Entry from the Alexandria database: a relaxed CdTePb6O10 crystal (GGA-PBEsol).

Results
**Energy**: -5.645 eV per atom
**Total magnetic moment**: 0.0 μB/f.u.
**Uncorrected formation energy**: -1.133 eV per atom

```
CdTePb6O10
1.0
7.361 0.010 0.000
-1.677 7.168 0.000
0.000 0.000 11.311
Pb O Te Cd
12 20 2 2
direct
0.785 0.223 0.514
0.494 0.920 0.760
0.012 0.988 0.750
0.988 0.012 0.250
0.777 0.215 0.986
0.704 0.704 0.500
0.920 0.494 0.240
0.223 0.785 0.486
0.506 0.080 0.260
0.080 0.506 0.740
0.296 0.296 0.000
0.215 0.777 0.014
0.523 0.178 0.872
0.814 0.529 0.906
0.752 0.891 0.894
0.246 0.014 0.149
0.477 0.822 0.372
0.822 0.477 0.628
0.416 0.542 0.604
0.754 0.986 0.649
0.178 0.523 0.128
0.471 0.186 0.594
0.014 0.246 0.851
0.584 0.458 0.104
0.248 0.109 0.394
0.891 0.752 0.106
0.186 0.471 0.406
0.529 0.814 0.094
0.109 0.248 0.606
0.542 0.416 0.396
0.986 0.754 0.351
0.458 0.584 0.896
0.323 0.323 0.500
0.677 0.677 0.000
0.578 0.422 0.750
0.422 0.578 0.250
```


Q: total magnetic moment of number 1 (KPbI3)?
A: 0.0 μB/f.u.


Q: total magnetic moment of number 4 (Fe3RhN)?
A: 8.0 μB/f.u.